# 1
A plane-wave DFT calculation with PBE was carried out for an optimized crystal structure of SiOsRu3.

The structure in extended XYZ format:
```
5
Lattice="4.289 0.000 0.000 0.000 4.289 0.000 0.000 0.000 4.289" Properties=species:S:1:pos:R:3 pbc="T T T"
Si 0.000 0.000 0.000
Os 2.144 2.144 2.144
Ru 0.000 0.000 2.144
Ru 0.000 2.144 0.000
Ru 2.144 0.000 0.000
```

symmetry	Pm-3m (221)
crystal system	cubic
raw formation energy	1101	meV/atom



# 2
A plane-wave DFT calculation with PBE was carried out for an optimized crystal structure of SiOsRu4.

The structure in extended XYZ format:
```
6
Lattice="0.000 3.548 3.548 3.548 0.000 3.548 3.548 3.548 0.000" Properties=species:S:1:pos:R:3 pbc="T T T"
Si 0.000 0.000 0.000
Os 5.322 5.322 5.322
Ru 2.661 2.661 2.661
Ru 4.435 4.435 2.661
Ru 4.435 2.661 4.435
Ru 2.661 4.435 4.435
```

symmetry	F-43m (216)
crystal system	cubic
raw formation energy	790	meV/atom



# 3
A plane-wave DFT calculation with PBE was carried out for an optimized crystal structure of SiOs2Ru.

The structure in extended XYZ format:
```
4
Lattice="0.000 3.040 3.040 3.040 0.000 3.040 3.040 3.040 0.000" Properties=species:S:1:pos:R:3 pbc="T T T"
Si 0.000 0.000 0.000
Os 3.040 3.040 3.040
Os 4.561 4.561 4.561
Ru 1.520 1.520 1.520
```

symmetry	F-43m (216)
crystal system	cubic
raw formation energy	330	meV/atom



# 4
A plane-wave DFT calculation with PBE was carried out for an optimized crystal structure of SiOsRu.

The structure in extended XYZ format:
```
3
Lattice="0.000 2.375 6.153 1.433 0.000 6.153 1.433 2.375 0.000" Properties=species:S:1:pos:R:3 pbc="T T T"
Si 0.000 0.000 0.000
Os 1.433 2.375 4.224
Ru 1.433 2.375 8.028
```

symmetry	Fmm2 (42)
crystal system	orthorhombic
raw formation energy	168	meV/atom



Copy entry 3 word for word.
A plane-wave DFT calculation with PBE was carried out for an optimized crystal structure of SiOs2Ru.

The structure in extended XYZ format:
```
4
Lattice="0.000 3.040 3.040 3.040 0.000 3.040 3.040 3.040 0.000" Properties=species:S:1:pos:R:3 pbc="T T T"
Si 0.000 0.000 0.000
Os 3.040 3.040 3.040
Os 4.561 4.561 4.561
Ru 1.520 1.520 1.520
```

symmetry	F-43m (216)
crystal system	cubic
raw formation energy	330	meV/atom



Please write out number 3 again, unchanged.
A plane-wave DFT calculation with PBE was carried out for an optimized crystal structure of SiOs2Ru.

The structure in extended XYZ format:
```
4
Lattice="0.000 3.040 3.040 3.040 0.000 3.040 3.040 3.040 0.000" Properties=species:S:1:pos:R:3 pbc="T T T"
Si 0.000 0.000 0.000
Os 3.040 3.040 3.040
Os 4.561 4.561 4.561
Ru 1.520 1.520 1.520
```

symmetry	F-43m (216)
crystal system	cubic
raw formation energy	330	meV/atom



Among the records above, which one has the highest raw formation energy?
SiOsRu3